# NiSbO2F PBE+U relaxed
# - spin magnetization (μB per atom) = 0.3893
# - crystal system = tetragonal
# - total energy (eV per atom) = -4.67
data_NiSbO2F
_cell_length_a 3.9844
_cell_length_b 3.9844
_cell_length_c 3.7699
_cell_angle_alpha 90.00
_cell_angle_beta 90.00
_cell_angle_gamma 90.00
_symmetry_space_group_name_H-M 'P 1'
_symmetry_Int_Tables_number 1
loop_
_symmetry_equiv_pos_as_xyz
'x,y,z'
loop_
_atom_site_label
_atom_site_type_symbol
_atom_site_fract_x
_atom_site_fract_y
_atom_site_fract_z
Ni1 Ni 0.0000 0.0000 0.0000
Sb1 Sb 0.5000 0.5000 0.5000
O1 O 0.0000 0.5000 0.0000
O2 O 0.5000 0.0000 0.0000
F1 F 0.0000 0.0000 0.5000